Compound: BaLaOs2
Source: Alexandria via LeMat-Bulk
Functional: GGA-PBE
Structure: optimized geometry

Cell lengths 3.4612, 5.3220, 9.7369 Å; angles 90.00, 90.00, 90.00 degrees
Space group Immm (No. 71)
Inequivalent atoms, fractional coordinates:
Ba1 0.0000 0.0000 0.0000 x2
La1 0.0000 0.0000 0.5000 x2
Os1 0.0000 0.5000 0.2403 x4

Uncorrected energy, eV per atom: -6.31
Calculated formation energy, meV/atom: 1013
ρ, Mg/m³: 12.16